A geometry-optimized La2BeS structure, computed with GGA-PBE.

a b c (Å): 7.184 7.184 7.184
angles (deg): 90.00 90.00 90.00
Space group Fm-3m (No. 225)
Asymmetric unit:
La 0.250 0.250 0.250 x8
Be 0.000 0.000 0.000 x4
S 0.000 0.000 0.500 x4

Its energy relative to the elements, uncorrected is -0.535 eV per atom. The calculation puts the energy at -4.96 eV per atom. The value obtained for the calculated volume is 92.70 Å³/f.u. Its energy above the lowest structure with this stoichiometry is 0.0000 eV per atom. Its size of the total moment is 0.00 μB per formula unit.